No. 1
## AcMg2Ag4Pb (PBE)

Data for a relaxed AcMg2Ag4Pb crystal.

Computed properties:
Its density of states at the Fermi level is 0.603 states/eV/atom. For the total magnetic moment, the calculation gives 0.00 μB per cell. As for the formation energy: -0.15 eV/atom.

```
data_AcMg2Ag4Pb
_symmetry_space_group_name_H-M 'R -3 m'
_symmetry_Int_Tables_number 166
_symmetry_space_group_name_Hall '-R 3 2"'
_cell_length_a 4.7460
_cell_length_b 4.7460
_cell_length_c 29.8386
_cell_angle_alpha 90.00
_cell_angle_beta 90.00
_cell_angle_gamma 120.00
loop_
_atom_site_label
_atom_site_type_symbol
_atom_site_fract_x
_atom_site_fract_y
_atom_site_fract_z
Ac1 Ac 0.0000 0.0000 0.0000
Mg1 Mg 0.0000 0.0000 0.2420
Ag1 Ag 0.0000 0.0000 0.1165
Ag2 Ag 0.0000 0.0000 0.3987
Pb1 Pb 0.0000 0.0000 0.5000
```



No. 2
## Ac2MgAg4Pb3 (PBE)

Data for a relaxed Ac2MgAg4Pb3 crystal.

Computed properties:
Its density of states at the Fermi level is 0.420 states/eV/atom. For the total magnetic moment, the calculation gives 0.00 μB per cell. As for the formation energy: -0.27 eV/atom.

```
data_Ac2MgAg4Pb3
_symmetry_space_group_name_H-M 'P -4 m 2'
_symmetry_Int_Tables_number 115
_symmetry_space_group_name_Hall 'P -4 -2'
_cell_length_a 4.746
_cell_length_b 4.746
_cell_length_c 12.033
_cell_angle_alpha 90.00
_cell_angle_beta 90.00
_cell_angle_gamma 90.00
loop_
_atom_site_label
_atom_site_type_symbol
_atom_site_fract_x
_atom_site_fract_y
_atom_site_fract_z
Ac1 Ac 0.000 0.500 0.238
Mg1 Mg 0.000 0.000 0.500
Ag1 Ag 0.000 0.000 0.000
Ag2 Ag 0.000 0.500 0.633
Ag3 Ag 0.500 0.500 0.000
Pb1 Pb 0.000 0.500 0.863
Pb2 Pb 0.500 0.500 0.500
```



No. 3
## Ac3MgAg2Pd9 (PBE)

Data for a relaxed Ac3MgAg2Pd9 crystal.

Computed properties:
Its density of states at the Fermi level is 0.430 states/eV/atom. For the total magnetic moment, the calculation gives 0.00 μB per cell. As for the formation energy: -0.23 eV/atom.

```
data_Ac3MgAg2Pd9
_symmetry_space_group_name_H-M 'P -3 m 1'
_symmetry_Int_Tables_number 164
_symmetry_space_group_name_Hall '-P 3 2"'
_cell_length_a 7.8302
_cell_length_b 7.8302
_cell_length_c 6.6091
_cell_angle_alpha 90.00
_cell_angle_beta 90.00
_cell_angle_gamma 120.00
loop_
_atom_site_label
_atom_site_type_symbol
_atom_site_fract_x
_atom_site_fract_y
_atom_site_fract_z
Ac1 Ac 0.0000 0.0000 0.0000
Ac2 Ac 0.3333 0.6667 0.6782
Mg1 Mg 0.0000 0.0000 0.5000
Ag1 Ag 0.3333 0.6667 0.1867
Pd1 Pd 0.0000 0.5000 0.0000
Pd2 Pd 0.1584 0.3168 0.3326
```



No. 4
## AcPmMgAg (PBE)

Data for a relaxed AcPmMgAg crystal.

Computed properties:
Its density of states at the Fermi level is 0.718 states/eV/atom. For the total magnetic moment, the calculation gives 0.00 μB per cell. As for the formation energy: -0.17 eV/atom.

```
data_AcPmMgAg
_symmetry_space_group_name_H-M 'P 4 m m'
_symmetry_Int_Tables_number 99
_symmetry_space_group_name_Hall 'P 4 -2'
_cell_length_a 3.943
_cell_length_b 3.943
_cell_length_c 7.695
_cell_angle_alpha 90.00
_cell_angle_beta 90.00
_cell_angle_gamma 90.00
loop_
_atom_site_label
_atom_site_type_symbol
_atom_site_fract_x
_atom_site_fract_y
_atom_site_fract_z
Ac1 Ac 0.000 0.000 0.000
Pm1 Pm 0.000 0.000 0.483
Mg1 Mg 0.500 0.500 0.718
Ag1 Ag 0.500 0.500 0.270
```



No. 5
## AcPmMgAg (PBE)

Data for a relaxed AcPmMgAg crystal.

Computed properties:
Its density of states at the Fermi level is 1.085 states/eV/atom. For the total magnetic moment, the calculation gives 0.00 μB per cell. As for the formation energy: -0.11 eV/atom.

```
data_AcPmMgAg
_symmetry_space_group_name_H-M 'F -4 3 m'
_symmetry_Int_Tables_number 216
_symmetry_space_group_name_Hall 'F -4 2 3'
_cell_length_a 7.856
_cell_length_b 7.856
_cell_length_c 7.856
_cell_angle_alpha 90.00
_cell_angle_beta 90.00
_cell_angle_gamma 90.00
loop_
_atom_site_label
_atom_site_type_symbol
_atom_site_fract_x
_atom_site_fract_y
_atom_site_fract_z
Ac1 Ac 0.000 0.000 0.000
Pm1 Pm 0.000 0.000 0.500
Mg1 Mg 0.250 0.250 0.250
Ag1 Ag 0.250 0.250 0.750
```



No. 6
## AcMgAgPt (PBE)

Data for a relaxed AcMgAgPt crystal.

Computed properties:
Its density of states at the Fermi level is 0.669 states/eV/atom. For the total magnetic moment, the calculation gives 0.00 μB per cell. As for the formation energy: -0.52 eV/atom.

```
data_AcMgAgPt
_symmetry_space_group_name_H-M 'F -4 3 m'
_symmetry_Int_Tables_number 216
_symmetry_space_group_name_Hall 'F -4 2 3'
_cell_length_a 7.282
_cell_length_b 7.282
_cell_length_c 7.282
_cell_angle_alpha 90.00
_cell_angle_beta 90.00
_cell_angle_gamma 90.00
loop_
_atom_site_label
_atom_site_type_symbol
_atom_site_fract_x
_atom_site_fract_y
_atom_site_fract_z
Ac1 Ac 0.000 0.000 0.000
Mg1 Mg 0.000 0.000 0.500
Ag1 Ag 0.250 0.250 0.250
Pt1 Pt 0.250 0.250 0.750
```



No. 7
## AcMgAgPt (PBE)

Data for a relaxed AcMgAgPt crystal.

Computed properties:
Its density of states at the Fermi level is 0.506 states/eV/atom. For the total magnetic moment, the calculation gives 0.00 μB per cell. As for the formation energy: -0.66 eV/atom.

```
data_AcMgAgPt
_symmetry_space_group_name_H-M 'R 3 m'
_symmetry_Int_Tables_number 160
_symmetry_space_group_name_Hall 'R 3 -2"'
_cell_length_a 4.6744
_cell_length_b 4.6744
_cell_length_c 15.5223
_cell_angle_alpha 90.00
_cell_angle_beta 90.00
_cell_angle_gamma 120.00
loop_
_atom_site_label
_atom_site_type_symbol
_atom_site_fract_x
_atom_site_fract_y
_atom_site_fract_z
Ac1 Ac 0.0000 0.0000 0.0000
Mg1 Mg 0.0000 0.0000 0.4866
Ag1 Ag 0.0000 0.0000 0.2084
Pt1 Pt 0.0000 0.0000 0.7881
```



No. 8
## AcMgAgRh (PBE)

Data for a relaxed AcMgAgRh crystal.

Computed properties:
Its density of states at the Fermi level is 0.886 states/eV/atom. For the total magnetic moment, the calculation gives 0.00 μB per cell. As for the formation energy: -0.26 eV/atom.

```
data_AcMgAgRh
_symmetry_space_group_name_H-M 'F -4 3 m'
_symmetry_Int_Tables_number 216
_symmetry_space_group_name_Hall 'F -4 2 3'
_cell_length_a 7.211
_cell_length_b 7.211
_cell_length_c 7.211
_cell_angle_alpha 90.00
_cell_angle_beta 90.00
_cell_angle_gamma 90.00
loop_
_atom_site_label
_atom_site_type_symbol
_atom_site_fract_x
_atom_site_fract_y
_atom_site_fract_z
Ac1 Ac 0.000 0.000 0.000
Mg1 Mg 0.000 0.000 0.500
Ag1 Ag 0.250 0.250 0.750
Rh1 Rh 0.250 0.250 0.250
```



No. 9
## AcMgAgRh (PBE)

Data for a relaxed AcMgAgRh crystal.

Computed properties:
Its density of states at the Fermi level is 0.375 states/eV/atom. For the total magnetic moment, the calculation gives 0.00 μB per cell. As for the formation energy: -0.42 eV/atom.

```
data_AcMgAgRh
_symmetry_space_group_name_H-M 'R 3 m'
_symmetry_Int_Tables_number 160
_symmetry_space_group_name_Hall 'R 3 -2"'
_cell_length_a 4.5849
_cell_length_b 4.5849
_cell_length_c 15.8063
_cell_angle_alpha 90.00
_cell_angle_beta 90.00
_cell_angle_gamma 120.00
loop_
_atom_site_label
_atom_site_type_symbol
_atom_site_fract_x
_atom_site_fract_y
_atom_site_fract_z
Ac1 Ac 0.0000 0.0000 0.0000
Mg1 Mg 0.0000 0.0000 0.4861
Ag1 Ag 0.0000 0.0000 0.2042
Rh1 Rh 0.0000 0.0000 0.7847
```



No. 10
## Ac2MgScAg6 (PBE)

Data for a relaxed Ac2MgScAg6 crystal.

Computed properties:
Its density of states at the Fermi level is 0.765 states/eV/atom. For the total magnetic moment, the calculation gives 0.00 μB per cell. As for the formation energy: -0.10 eV/atom.

```
data_Ac2MgScAg6
_symmetry_space_group_name_H-M 'C 1 2/m 1'
_symmetry_Int_Tables_number 12
_symmetry_space_group_name_Hall '-C 2y'
_cell_length_a 13.308
_cell_length_b 5.789
_cell_length_c 9.454
_cell_angle_alpha 90.00
_cell_angle_beta 134.47
_cell_angle_gamma 90.00
loop_
_atom_site_label
_atom_site_type_symbol
_atom_site_fract_x
_atom_site_fract_y
_atom_site_fract_z
Ac1 Ac 0.035 0.000 0.291
Mg1 Mg 0.000 0.500 0.500
Sc1 Sc 0.000 0.500 0.000
Ag1 Ag 0.165 0.500 0.913
Ag2 Ag 0.249 0.251 0.749
```



No. 11
## AcMgAg2Se4 (PBE)

Data for a relaxed AcMgAg2Se4 crystal.

Computed properties:
Its density of states at the Fermi level is 0.372 states/eV/atom. The value obtained for the formation energy (no corrections) is -0.936 eV per atom. For the total magnetic moment, the calculation gives 0.00 μB per cell.

```
data_AcMgAg2Se4
_symmetry_space_group_name_H-M 'I 2 2 2'
_symmetry_Int_Tables_number 23
_symmetry_space_group_name_Hall 'I 2 2'
_cell_length_a 7.162
_cell_length_b 7.269
_cell_length_c 7.888
_cell_angle_alpha 90.00
_cell_angle_beta 90.00
_cell_angle_gamma 90.00
loop_
_atom_site_label
_atom_site_type_symbol
_atom_site_fract_x
_atom_site_fract_y
_atom_site_fract_z
Ac1 Ac 0.000 0.000 0.000
Mg1 Mg 0.000 0.000 0.500
Ag1 Ag 0.000 0.500 0.200
Se1 Se 0.208 0.210 0.313
```



No. 12
## AcMg2SiAg2 (PBE)

Data for a relaxed AcMg2SiAg2 crystal.

Computed properties:
Its density of states at the Fermi level is 0.381 states/eV/atom. The value obtained for the formation energy (no corrections) is -0.095 eV per atom. For the total magnetic moment, the calculation gives 0.00 μB per cell.

```
data_AcMg2SiAg2
_symmetry_space_group_name_H-M 'I 4/m m m'
_symmetry_Int_Tables_number 139
_symmetry_space_group_name_Hall '-I 4 2'
_cell_length_a 4.485
_cell_length_b 4.485
_cell_length_c 16.149
_cell_angle_alpha 90.00
_cell_angle_beta 90.00
_cell_angle_gamma 90.00
loop_
_atom_site_label
_atom_site_type_symbol
_atom_site_fract_x
_atom_site_fract_y
_atom_site_fract_z
Ac1 Ac 0.000 0.000 0.000
Mg1 Mg 0.000 0.500 0.250
Si1 Si 0.000 0.000 0.500
Ag1 Ag 0.000 0.000 0.351
```



No. 13
## AcMgSiAg (PBE)

Data for a relaxed AcMgSiAg crystal.

Computed properties:
Its density of states at the Fermi level is 0.402 states/eV/atom. The value obtained for the formation energy (no corrections) is -0.227 eV per atom. For the total magnetic moment, the calculation gives 0.00 μB per cell.

```
data_AcMgSiAg
_symmetry_space_group_name_H-M 'F -4 3 m'
_symmetry_Int_Tables_number 216
_symmetry_space_group_name_Hall 'F -4 2 3'
_cell_length_a 7.328
_cell_length_b 7.328
_cell_length_c 7.328
_cell_angle_alpha 90.00
_cell_angle_beta 90.00
_cell_angle_gamma 90.00
loop_
_atom_site_label
_atom_site_type_symbol
_atom_site_fract_x
_atom_site_fract_y
_atom_site_fract_z
Ac1 Ac 0.000 0.000 0.000
Mg1 Mg 0.000 0.000 0.500
Si1 Si 0.250 0.250 0.750
Ag1 Ag 0.250 0.250 0.250
```